DFT (PBE-GGA) results for crystalline RbBiOsW2 at its relaxed geometry.

Unit cell a=5.138 b=5.138 c=5.813 alpha=90.00 beta=90.00 gamma=90.00
Atoms (fractional coordinates):
Rb (0.000, 0.000, 0.000)
Bi (0.000, 0.000, 0.500)
Os (0.500, 0.500, 0.000)
W (0.000, 0.500, 0.500)
W (0.500, 0.000, 0.500)

Output
Total moment   3.10 μB/cell
Density   9.2 g cm⁻³
Energy relative to the elements   3.50 eV/atom
Symmetry   P4/mmm, No. 123